# 1
Ba8Hg3BiI4 | GGA-PBE | optimized geometry

The structure in CIF format:
```
data_Ba8Hg3BiI4
_cell_length_a 9.7526
_cell_length_b 9.7526
_cell_length_c 26.8728
_cell_angle_alpha 90.00
_cell_angle_beta 90.00
_cell_angle_gamma 120.00
_space_group_name_H-M_alt 'R -3 m'
_space_group_IT_number 166
_space_group_name_Hall '-R 3 2"'
loop_
_atom_site_label
_atom_site_type_symbol
_atom_site_fract_x
_atom_site_fract_y
_atom_site_fract_z
Ba1 Ba 0.0000 0.0000 0.2410
Ba2 Ba 0.0032 0.5016 0.7567
Hg1 Hg 0.0000 0.5000 0.5000
Bi1 Bi 0.0000 0.0000 0.5000
I1 I 0.0000 0.0000 0.0000
I2 I 0.0000 0.5000 0.0000
```

Output
- Formation energy without anion corrections: -0.975 eV/atom
- N(E_F): 15.9 states/eV/f.u.

***

# 2
BaIn | GGA-PBE | optimized geometry

The structure in CIF format:
```
data_BaIn
_cell_length_a 4.2865
_cell_length_b 4.2865
_cell_length_c 10.8090
_cell_angle_alpha 90.00
_cell_angle_beta 90.00
_cell_angle_gamma 120.00
_space_group_name_H-M_alt 'P 63/m m c'
_space_group_IT_number 194
_space_group_name_Hall '-P 6c 2c'
loop_
_atom_site_label
_atom_site_type_symbol
_atom_site_fract_x
_atom_site_fract_y
_atom_site_fract_z
Ba1 Ba 0.0000 0.0000 0.0000
In1 In 0.3333 0.6667 0.2500
```

Output
- Formation energy: -0.153 eV per atom
- N(E_F): 2.2 states/eV/f.u.

***

# 3
TiTcB2 | GGA-PBE | optimized geometry

The structure in CIF format:
```
data_TiTcB2
_cell_length_a 5.491
_cell_length_b 5.491
_cell_length_c 5.491
_cell_angle_alpha 90.00
_cell_angle_beta 90.00
_cell_angle_gamma 90.00
_space_group_name_H-M_alt 'F m -3 m'
_space_group_IT_number 225
_space_group_name_Hall '-F 4 2 3'
loop_
_atom_site_label
_atom_site_type_symbol
_atom_site_fract_x
_atom_site_fract_y
_atom_site_fract_z
Ti1 Ti 0.000 0.000 0.000
Tc1 Tc 0.000 0.000 0.500
B1 B 0.250 0.250 0.250
```

Output
- Polymorph energy (0 for the lowest one): 2.68 eV per formula unit
- Formation energy: -0.095 eV per atom
- N(E_F): 1.7 states/eV/f.u.

***

# 4
GaHg2Pb2 | GGA-PBE | optimized geometry

The structure in CIF format:
```
data_GaHg2Pb2
_cell_length_a 3.511
_cell_length_b 3.511
_cell_length_c 21.932
_cell_angle_alpha 90.00
_cell_angle_beta 90.00
_cell_angle_gamma 90.00
_space_group_name_H-M_alt 'I 4/m m m'
_space_group_IT_number 139
_space_group_name_Hall '-I 4 2'
loop_
_atom_site_label
_atom_site_type_symbol
_atom_site_fract_x
_atom_site_fract_y
_atom_site_fract_z
Ga1 Ga 0.000 0.000 0.000
Hg1 Hg 0.000 0.000 0.203
Pb1 Pb 0.000 0.000 0.407
```

Output
- Polymorph energy (0 for the lowest one): 0.00 eV per formula unit
- Formation energy: 0.052 eV per atom
- N(E_F): 2.1 states/eV/f.u.